Entry 1:
K2NaRe: optimized geometry, PBE-GGA.

V = 156.0 Å³/f.u.
Formation energy from the elements = 623 kJ/mol of formula units

Unit cell a=5.014 b=5.014 c=24.824 alpha=90.00 beta=90.00 gamma=90.00
Space group I-42d (No. 122)
Symmetry-distinct sites (fractional):
1 K 0.239 0.250 0.125 x8
2 Na 0.000 0.000 0.500 x4
3 Re 0.000 0.000 0.000 x4


Entry 2:
K3NaRe: optimized geometry, PBE-GGA.

V = 282.3 Å³/f.u.
Formation energy from the elements = 631 kJ/mol of formula units

Unit cell a=6.560 b=6.560 c=6.560 alpha=90.00 beta=90.00 gamma=90.00
Space group Pm-3m (No. 221)
Symmetry-distinct sites (fractional):
1 K 0.000 0.000 0.500 x3
2 Na 0.500 0.500 0.500 x1
3 Re 0.000 0.000 0.000 x1


Entry 3:
KNa3Re: optimized geometry, PBE-GGA.

V = 197.8 Å³/f.u.
Formation energy from the elements = 833 kJ/mol of formula units

Unit cell a=5.826 b=5.826 c=5.826 alpha=90.00 beta=90.00 gamma=90.00
Space group Pm-3m (No. 221)
Symmetry-distinct sites (fractional):
1 K 0.000 0.000 0.000 x1
2 Na 0.000 0.000 0.500 x3
3 Re 0.500 0.500 0.500 x1


Number 1: magnetic moment 3.87 μB per formula unit. Number 2: magnetic moment 3.06 μB per formula unit. Number 3: magnetic moment 3.99 μB per formula unit.